Record 1
## Li2Zn2Ga3 (PBE)

Data for a relaxed Li2Zn2Ga3 crystal.

The structure belongs to space group C2/m (No. 12); the cell edges are 9.733, 4.193 and 6.669 Å and the angles 90.00°, 115.28° and 90.00°. The distinct sites, in fractional coordinates, are Li at (0.153, 0.000, 0.278), Zn at (0.136, 0.000, 0.701), Ga at (0.000, 0.500, 0.500) and Ga at (0.115, 0.500, 0.949).

The energy above the lowest structure with this stoichiometry comes out at 0 meV per atom.


Record 2
## LiZn2Ga4 (PBE)

Data for a relaxed LiZn2Ga4 crystal.

The structure belongs to space group R-3m (No. 166, hexagonal axes); the cell edges are 4.4615, 4.4615 and 21.1815 Å and the angles 90.00°, 90.00° and 120.00°. The distinct sites, in fractional coordinates, are Li at (0.0000, 0.0000, 0.0000), Zn at (0.0000, 0.0000, 0.2557), Ga at (0.0000, 0.0000, 0.1308) and Ga at (0.0000, 0.0000, 0.3882).

The energy above the lowest structure with this stoichiometry comes out at 0 meV per atom.


Record 3
## LiZn3Ga3 (PBE)

Data for a relaxed LiZn3Ga3 crystal.

The structure belongs to space group P2_1/m (No. 11); the cell edges are 7.307, 4.051 and 8.781 Å and the angles 90.00°, 114.34° and 90.00°. The distinct sites, in fractional coordinates, are Li at (0.195, 0.250, 0.276), Zn at (0.235, 0.750, 0.762), Zn at (0.372, 0.250, 0.008), Zn at (0.489, 0.250, 0.747), Ga at (0.001, 0.750, 0.395), Ga at (0.129, 0.750, 0.027) and Ga at (0.391, 0.750, 0.514).

The energy above the lowest structure with this stoichiometry comes out at 0 meV per atom.


Record 4
## Li4Zn2Ga (PBE)

Data for a relaxed Li4Zn2Ga crystal.

The structure belongs to space group Imm2 (No. 44); the cell edges are 5.350, 7.535 and 5.917 Å and the angles 90.00°, 90.00° and 90.00°. The distinct sites, in fractional coordinates, are Li at (0.243, 0.211, 0.000), Zn at (0.000, 0.000, 0.676), Zn at (0.000, 0.500, 0.216) and Ga at (0.000, 0.500, 0.791).

The energy above the lowest structure with this stoichiometry comes out at 30 meV per atom.


Record 5
## LiZn3Ga2 (PBE)

Data for a relaxed LiZn3Ga2 crystal.

The structure belongs to space group C2/m (No. 12); the cell edges are 14.740, 4.169 and 7.852 Å and the angles 90.00°, 122.17° and 90.00°. The distinct sites, in fractional coordinates, are Li at (0.125, 0.000, 0.124), Zn at (0.000, 0.000, 0.338), Zn at (0.183, 0.500, 0.889), Zn at (0.184, 0.500, 0.478), Ga at (0.000, 0.500, 0.157) and Ga at (0.196, 0.000, 0.696).

The energy above the lowest structure with this stoichiometry comes out at 0 meV per atom.


Record 6
## Li3ZnGa (PBE)

Data for a relaxed Li3ZnGa crystal.

The structure belongs to space group P2_1/m (No. 11); the cell edges are 5.207, 4.392 and 6.854 Å and the angles 90.00°, 103.41° and 90.00°. The distinct sites, in fractional coordinates, are Li at (0.056, 0.250, 0.346), Li at (0.252, 0.250, 0.754), Li at (0.442, 0.250, 0.154), Zn at (0.367, 0.750, 0.446) and Ga at (0.147, 0.750, 0.056).

The energy above the lowest structure with this stoichiometry comes out at 0 meV per atom.


Record 7
## Li4Zn7Ga (PBE)

Data for a relaxed Li4Zn7Ga crystal.

The structure belongs to space group P-1 (No. 2); the cell edges are 4.661, 5.397 and 7.754 Å and the angles 70.66°, 89.57° and 89.97°. The distinct sites, in fractional coordinates, are Li at (0.249, 0.399, 0.233), Li at (0.250, 0.872, 0.228), Zn at (0.000, 0.000, 0.500), Zn at (0.247, 0.285, 0.927), Zn at (0.248, 0.466, 0.580), Zn at (0.253, 0.811, 0.870) and Ga at (0.500, 0.000, 0.500).


Record 8
## Li2Zn4Ga3 (PBE)

Data for a relaxed Li2Zn4Ga3 crystal.

The structure belongs to space group Cmce (No. 64); the cell edges are 5.373, 15.819 and 7.282 Å and the angles 90.00°, 90.00° and 90.00°. The distinct sites, in fractional coordinates, are Li at (0.000, 0.082, 0.123), Zn at (0.000, 0.163, 0.485), Zn at (0.250, 0.078, 0.750), Ga at (0.000, 0.000, 0.500) and Ga at (0.250, 0.247, 0.750).

The energy above the lowest structure with this stoichiometry comes out at 30 meV per atom.


Record 9
## Li2Zn2Ga (PBE)

Data for a relaxed Li2Zn2Ga crystal.

The structure belongs to space group I4/mmm (No. 139); the cell edges are 3.562, 3.562 and 13.403 Å and the angles 90.00°, 90.00° and 90.00°. The distinct sites, in fractional coordinates, are Li at (0.000, 0.500, 0.250), Zn at (0.000, 0.000, 0.100) and Ga at (0.000, 0.000, 0.500).

The energy above the lowest structure with this stoichiometry comes out at 257 meV per atom.


Record 10
## Li3Zn3Ga8 (PBE)

Data for a relaxed Li3Zn3Ga8 crystal.

The structure belongs to space group Immm (No. 71); the cell edges are 4.103, 9.851 and 12.065 Å and the angles 90.00°, 90.00° and 90.00°. The distinct sites, in fractional coordinates, are Li at (0.000, 0.000, 0.000), Li at (0.000, 0.000, 0.289), Zn at (0.000, 0.167, 0.500), Zn at (0.000, 0.500, 0.000), Ga at (0.000, 0.293, 0.151) and Ga at (0.000, 0.373, 0.359).


Record 11
## Li5Zn2Ga4 (PBE)

Data for a relaxed Li5Zn2Ga4 crystal.

The structure belongs to space group Pbam (No. 55); the cell edges are 6.555, 14.068 and 3.939 Å and the angles 90.00°, 90.00° and 90.00°. The distinct sites, in fractional coordinates, are Li at (0.000, 0.000, 0.000), Li at (0.102, 0.419, 0.000), Li at (0.209, 0.197, 0.000), Zn at (0.017, 0.301, 0.500), Ga at (0.107, 0.869, 0.500) and Ga at (0.219, 0.549, 0.500).

The energy above the lowest structure with this stoichiometry comes out at 0 meV per atom.


Record 12
## Li5Zn6Ga (PBE)

Data for a relaxed Li5Zn6Ga crystal.

The structure belongs to space group P-1 (No. 2); the cell edges are 3.840, 7.400 and 7.407 Å and the angles 64.48°, 75.50° and 75.74°. The distinct sites, in fractional coordinates, are Li at (0.000, 0.000, 0.000), Li at (0.334, 0.666, 0.666), Li at (0.340, 0.161, 0.161), Zn at (0.167, 0.081, 0.583), Zn at (0.168, 0.584, 0.081), Zn at (0.500, 0.248, 0.752) and Ga at (0.000, 0.500, 0.500).


The records above give, respectively, E_form values of -0.134 -0.070 -0.063 -0.104 -0.097 -0.253 -0.134 -0.101 0.022 -0.150 -0.189 -0.161 eV/atom.